Record 1
# Nb2O5

A relaxed Nb2O5 crystal (GGA-PBEsol, Alexandria).

Cell lengths 14.6578, 14.6578, 14.6578 Å; angles 90.98, 90.98, 164.97 degrees
Element x y z (fractional)
Nb 0.0000 0.1318 0.1318
Nb 0.0000 0.4015 0.4015
Nb 0.0000 0.5985 0.5985
Nb 0.0000 0.8682 0.8682
Nb 0.1318 0.0000 0.1318
Nb 0.1353 0.2669 0.4022
Nb 0.1353 0.7331 0.8684
Nb 0.2669 0.1353 0.4022
Nb 0.2669 0.8647 0.1316
Nb 0.4015 0.0000 0.4015
Nb 0.5985 0.0000 0.5985
Nb 0.7331 0.1353 0.8684
Nb 0.7331 0.8647 0.5978
Nb 0.8647 0.2669 0.1316
Nb 0.8647 0.7331 0.5978
Nb 0.8682 0.0000 0.8682
O 0.0657 0.5000 0.5657
O 0.0689 0.2100 0.2789
O 0.0690 0.3478 0.4168
O 0.0690 0.6522 0.7212
O 0.0689 0.7900 0.8589
O 0.0701 0.0701 0.1403
O 0.0701 0.9299 0.0000
O 0.2065 0.2065 0.4129
O 0.2065 0.7935 0.0000
O 0.2100 0.0689 0.2789
O 0.2097 0.3514 0.5611
O 0.2097 0.6486 0.8583
O 0.2100 0.9311 0.1411
O 0.3478 0.0690 0.4168
O 0.3478 0.9310 0.2788
O 0.3514 0.2097 0.5611
O 0.3514 0.7903 0.1417
O 0.3548 0.5000 0.8548
O 0.5000 0.0657 0.5657
O 0.5000 0.3548 0.8548
O 0.5000 0.6452 0.1452
O 0.5000 0.9343 0.4343
O 0.6452 0.5000 0.1452
O 0.6486 0.2097 0.8583
O 0.6486 0.7903 0.4389
O 0.6522 0.0690 0.7212
O 0.6522 0.9310 0.5832
O 0.7900 0.0689 0.8589
O 0.7903 0.3514 0.1417
O 0.7903 0.6486 0.4389
O 0.7900 0.9311 0.7211
O 0.7935 0.2065 0.0000
O 0.7935 0.7935 0.5871
O 0.9299 0.0701 0.0000
O 0.9299 0.9299 0.8597
O 0.9311 0.2100 0.1411
O 0.9310 0.3478 0.2788
O 0.9310 0.6522 0.5832
O 0.9311 0.7900 0.7211
O 0.9343 0.5000 0.4343

Results
* SG: No. 139
* uncorrected formation energy: -2499 meV per atom
* excess energy over the best structure of this formula in the dataset: 0.0148 eV per atom

Record 2
# SrTeSeN2

A relaxed SrTeSeN2 crystal (GGA-PBEsol, Alexandria).

Cell lengths 4.6459, 4.6459, 6.0970 Å; angles 90.00, 90.00, 90.00 degrees
Element x y z (fractional)
Sr 0.0000 0.0000 0.0000
Te 0.5000 0.5000 0.5000
Se 0.0000 0.0000 0.5000
N 0.0000 0.5000 0.0000
N 0.5000 0.0000 0.0000

Results
* SG: No. 123
* uncorrected formation energy: 1378 meV per atom
* excess energy over the best structure of this formula in the dataset: 1.0769 eV per atom

Record 3
# LiAuIO2

A relaxed LiAuIO2 crystal (GGA-PBEsol, Alexandria).

Cell lengths 3.8956, 3.8956, 6.9151 Å; angles 90.00, 90.00, 90.00 degrees
Element x y z (fractional)
Li 0.0000 0.0000 0.0000
Au 0.5000 0.5000 0.5000
I 0.5000 0.5000 0.0000
O 0.0000 0.5000 0.5000
O 0.5000 0.0000 0.5000

Results
* SG: No. 123
* uncorrected formation energy: -80 meV per atom